# 1
A plane-wave DFT calculation with PBE was carried out for an optimized crystal structure of La5Sm6In.

The structure in CIF format:
```
data_La5Sm6In
_symmetry_space_group_name_H-M 'I m m m'
_symmetry_Int_Tables_number 71
_symmetry_space_group_name_Hall '-I 2 2'
_cell_length_a 5.1370
_cell_length_b 10.2647
_cell_length_c 15.4110
_cell_angle_alpha 90.00
_cell_angle_beta 90.00
_cell_angle_gamma 90.00
loop_
_atom_site_label
_atom_site_fract_x
_atom_site_fract_y
_atom_site_fract_z
La1 0.0000 0.0000 0.0000
La2 0.0000 0.0000 0.3342
La3 0.0000 0.5000 0.3353
Sm1 0.0000 0.2455 0.5000
Sm2 0.0000 0.2558 0.1623
In1 0.0000 0.5000 0.0000
```

## Properties
E_form: -0.05 eV per atom
DOS at the Fermi energy: 33.1 states/eV per cell



# 2
A plane-wave DFT calculation with PBE was carried out for an optimized crystal structure of Mg2FePt.

The structure in CIF format:
```
data_Mg2FePt
_symmetry_space_group_name_H-M 'I 4/m m m'
_symmetry_Int_Tables_number 139
_symmetry_space_group_name_Hall '-I 4 2'
_cell_length_a 4.1570
_cell_length_b 4.1570
_cell_length_c 7.2345
_cell_angle_alpha 90.00
_cell_angle_beta 90.00
_cell_angle_gamma 90.00
loop_
_atom_site_label
_atom_site_fract_x
_atom_site_fract_y
_atom_site_fract_z
Mg1 0.0000 0.5000 0.2500
Fe1 0.0000 0.0000 0.0000
Pt1 0.0000 0.0000 0.5000
```

## Properties
E_form: -0.25 eV per atom
DOS at the Fermi energy: 11.8 states/eV per cell



# 3
A plane-wave DFT calculation with PBE was carried out for an optimized crystal structure of Ce3CuSnSe7.

The structure in CIF format:
```
data_Ce3CuSnSe7
_symmetry_space_group_name_H-M 'P 63'
_symmetry_Int_Tables_number 173
_cell_length_a 10.3598
_cell_length_b 10.3598
_cell_length_c 6.7596
_cell_angle_alpha 90.00
_cell_angle_beta 90.00
_cell_angle_gamma 120.00
loop_
_symmetry_equiv_pos_as_xyz
'x,y,z'
'x-y,x,z+1/2'
'-y,x-y,z'
'-x,-y,z+1/2'
'-x+y,-x,z'
'y,-x+y,z+1/2'
loop_
_atom_site_label
_atom_site_fract_x
_atom_site_fract_y
_atom_site_fract_z
Ce1 0.1566 0.3644 0.0000
Cu1 0.0000 0.0000 0.3988
Sn1 0.3333 0.6667 0.5709
Se1 0.0747 0.5556 0.7503
Se2 0.1158 0.2612 0.4278
Se3 0.3333 0.6667 0.1764
```

## Properties
E_form (uncorrected): -1.2675 eV per atom
DOS at the Fermi energy: 41.8 states/eV per cell



# 4
A plane-wave DFT calculation with PBE was carried out for an optimized crystal structure of SrMgH2O.

The structure in CIF format:
```
data_SrMgH2O
_symmetry_space_group_name_H-M 'P 4/m m m'
_symmetry_Int_Tables_number 123
_symmetry_space_group_name_Hall '-P 4 2'
_cell_length_a 3.8186
_cell_length_b 3.8186
_cell_length_c 4.0987
_cell_angle_alpha 90.00
_cell_angle_beta 90.00
_cell_angle_gamma 90.00
loop_
_atom_site_label
_atom_site_fract_x
_atom_site_fract_y
_atom_site_fract_z
Sr1 0.0000 0.0000 0.0000
Mg1 0.5000 0.5000 0.5000
H1 0.0000 0.5000 0.5000
O1 0.5000 0.5000 0.0000
```

## Properties
Calculated total energy: -21.531 eV for the cell shown
DOS at the Fermi energy: 0.0 states/eV per cell



# 5
A plane-wave DFT calculation with PBE was carried out for an optimized crystal structure of NaLi2SbBr6.

The structure in CIF format:
```
data_NaLi2SbBr6
_symmetry_space_group_name_H-M 'R 3'
_symmetry_Int_Tables_number 146
_symmetry_space_group_name_Hall 'R 3'
_cell_length_a 7.1400
_cell_length_b 7.1400
_cell_length_c 19.4965
_cell_angle_alpha 90.00
_cell_angle_beta 90.00
_cell_angle_gamma 120.00
loop_
_atom_site_label
_atom_site_fract_x
_atom_site_fract_y
_atom_site_fract_z
Na1 0.0000 0.0000 0.0000
Li1 0.0000 0.0000 0.2891
Li2 0.0000 0.0000 0.8110
Sb1 0.0000 0.0000 0.4863
Br1 0.0110 0.3581 0.5609
Br2 0.0113 0.6286 0.0643
```

## Properties
E_form (uncorrected): -1.1483 eV per atom
DOS at the Fermi energy: 0.0 states/eV per cell



# 6
A plane-wave DFT calculation with PBE was carried out for an optimized crystal structure of TlTc2P.

The structure in CIF format:
```
data_TlTc2P
_symmetry_space_group_name_H-M 'I m m 2'
_symmetry_Int_Tables_number 44
_cell_length_a 2.9830
_cell_length_b 3.2443
_cell_length_c 14.2156
_cell_angle_alpha 90.00
_cell_angle_beta 90.00
_cell_angle_gamma 90.00
loop_
_symmetry_equiv_pos_as_xyz
'x,y,z'
'-x,-y,z'
'-x,y,z'
'x,-y,z'
'x+1/2,y+1/2,z+1/2'
'-x+1/2,-y+1/2,z+1/2'
'-x+1/2,y+1/2,z+1/2'
'x+1/2,-y+1/2,z+1/2'
loop_
_atom_site_label
_atom_site_fract_x
_atom_site_fract_y
_atom_site_fract_z
Tl1 0.0000 0.0000 0.0000
Tc1 0.0000 0.0000 0.3568
Tc2 0.0000 0.5000 0.6782
P1 0.0000 0.5000 0.2414
```

## Properties
Energy relative to the lowest polymorph listed for this composition: 0.0 kJ/mol of atoms
E_form: 0.04 eV per atom
DOS at the Fermi energy: 8.2 states/eV per cell



# 7
A plane-wave DFT calculation with PBE was carried out for an optimized crystal structure of Pa2MoC.

The structure in CIF format:
```
data_Pa2MoC
_symmetry_space_group_name_H-M 'R -3 m'
_symmetry_Int_Tables_number 166
_symmetry_space_group_name_Hall '-R 3 2"'
_cell_length_a 3.4562
_cell_length_b 3.4562
_cell_length_c 22.0294
_cell_angle_alpha 90.00
_cell_angle_beta 90.00
_cell_angle_gamma 120.00
loop_
_atom_site_label
_atom_site_fract_x
_atom_site_fract_y
_atom_site_fract_z
Pa1 0.0000 0.0000 0.2339
Mo1 0.0000 0.0000 0.0000
C1 0.0000 0.0000 0.5000
```

## Properties
E_form: 0.09 eV per atom
DOS at the Fermi energy: 16.3 states/eV per cell



# 8
A plane-wave DFT calculation with PBE was carried out for an optimized crystal structure of Na4Th3SnTe8.

The structure in CIF format:
```
data_Na4Th3SnTe8
_symmetry_space_group_name_H-M 'R -3 m'
_symmetry_Int_Tables_number 166
_symmetry_space_group_name_Hall '-R 3 2"'
_cell_length_a 8.9971
_cell_length_b 8.9971
_cell_length_c 22.8427
_cell_angle_alpha 90.00
_cell_angle_beta 90.00
_cell_angle_gamma 120.00
loop_
_atom_site_label
_atom_site_fract_x
_atom_site_fract_y
_atom_site_fract_z
Na1 0.0000 0.0000 0.0000
Na2 0.0000 0.5000 0.0000
Th1 0.0000 0.5000 0.5000
Sn1 0.0000 0.0000 0.5000
Te1 0.0000 0.0000 0.2478
Te2 0.0017 0.5009 0.7534
```

## Properties
E_form (uncorrected): -0.9945 eV per atom
DOS at the Fermi energy: 26.7 states/eV per cell